Computed, not measured: a relaxed FeAs2Au crystal at the PBE level of DFT.

As for the energy of formation: 0.19 eV per atom. The calculation puts the distance to the lowest polymorph of the same formula at 0.1219 eV per atom.

The space group is P4mm (No. 99) and the conventional cell measures 2.917, 2.917 and 8.017 Å, with angles of 90.00, 90.00 and 90.00 degrees. The asymmetric unit holds Fe at (0.000, 0.000, 0.000), As at (0.000, 0.000, 0.501), As at (0.500, 0.500, 0.169) and Au at (0.500, 0.500, 0.763).

---

Computed, not measured: a relaxed FeAs3Au crystal at the PBE level of DFT.

As for the energy of formation: 0.44 eV per atom. The calculation puts the distance to the lowest polymorph of the same formula at 0.0000 eV per atom.

The space group is Pm-3m (No. 221) and the conventional cell measures 4.568, 4.568 and 4.568 Å, with angles of 90.00, 90.00 and 90.00 degrees. The asymmetric unit holds Fe at (0.000, 0.000, 0.000), As at (0.000, 0.000, 0.500) and Au at (0.500, 0.500, 0.500).

---

Computed, not measured: a relaxed FeAs2Au crystal at the PBE level of DFT.

As for the energy of formation: 0.13 eV per atom. The calculation puts the distance to the lowest polymorph of the same formula at 0.0597 eV per atom.

The space group is Immm (No. 71) and the conventional cell measures 2.881, 4.548 and 11.214 Å, with angles of 90.00, 90.00 and 90.00 degrees. The asymmetric unit holds Fe at (0.000, 0.000, 0.000), As at (0.000, 0.500, 0.330) and Au at (0.000, 0.000, 0.500).

---

Computed, not measured: a relaxed FeAs2Au crystal at the PBE level of DFT.

As for the energy of formation: 0.20 eV per atom. The calculation puts the distance to the lowest polymorph of the same formula at 0.1312 eV per atom.

The space group is I-42d (No. 122) and the conventional cell measures 5.689, 5.689 and 10.501 Å, with angles of 90.00, 90.00 and 90.00 degrees. The asymmetric unit holds Fe at (0.000, 0.000, 0.000), As at (0.199, 0.250, 0.125) and Au at (0.000, 0.000, 0.500).